(i)
CoPOsCl2: single point on PBEsol structure, SCAN.

Cell: 4.449 4.808 4.808 Å, 90.00 90.00 90.00°
Atoms (fractional coordinates):
Co  0.500  0.500  0.500
Cl  0.000  0.000  0.500
P  0.500  0.000  0.000
Os  0.000  0.000  0.000
Cl  0.000  0.500  0.000

Calculated values
- size of the total moment (μB/atom) = 0.603

(ii)
CoPOsCl2: single point on PBEsol structure, SCAN.

Cell: 4.283 4.283 4.608 Å, 90.00 90.00 90.00°
Atoms (fractional coordinates):
Cl  0.000  0.500  0.000
Co  0.000  0.000  0.000
P  0.000  0.000  0.500
Os  0.500  0.500  0.500
Cl  0.500  0.000  0.000

Calculated values
- size of the total moment (μB/atom) = 0.901

It is (i) that is the most stable of them.

(i)
CoPCl2: single point on PBEsol structure, SCAN.

Cell: 4.359 4.359 4.359 Å, 60.00 60.00 60.00°
Atoms (fractional coordinates):
Co  0.500  0.500  0.500
P  0.250  0.250  0.250
Cl  0.750  0.750  0.750
Cl  0.000  0.000  0.000

Calculated values
- size of the total moment (μB/atom) = 0.082

(ii)
CoPCl2: single point on PBEsol structure, SCAN.

Cell: 4.392 4.392 4.392 Å, 60.00 60.00 60.00°
Atoms (fractional coordinates):
Co  0.500  0.500  0.500
Cl  0.750  0.750  0.750
P  0.000  0.000  0.000
Cl  0.250  0.250  0.250

Calculated values
- size of the total moment (μB/atom) = 0.345

(iii)
CoPCl2: single point on PBEsol structure, SCAN.

Cell: 3.311 3.311 7.672 Å, 91.07 90.00 120.00°
Atoms (fractional coordinates):
Co  0.461  0.922  0.460
Cl  0.116  0.232  0.067
P  0.124  0.247  0.330
Cl  0.800  0.599  0.644

Calculated values
- size of the total moment (μB/atom) = 0.000

(iv)
CoPCl2: single point on PBEsol structure, SCAN.

Cell: 3.053 6.268 6.268 Å, 138.40 90.00 90.00°
Atoms (fractional coordinates):
P  0.500  0.000  0.000
Cl  0.000  0.637  0.363
Cl  0.000  0.363  0.637
Co  0.500  0.500  0.500

Calculated values
- size of the total moment (μB/atom) = 0.206

It is (iii) that is the most stable of them.

(i)
CoP2Cl: single point on PBEsol structure, SCAN.

Cell: 2.990 2.990 6.610 Å, 90.00 90.00 90.00°
Atoms (fractional coordinates):
P  0.000  0.000  0.971
Cl  0.000  0.000  0.559
P  0.500  0.500  0.157
Co  0.500  0.500  0.813

Calculated values
- size of the total moment (μB/atom) = 0.001

(ii)
CoP2Cl: single point on PBEsol structure, SCAN.

Cell: 2.491 3.237 7.644 Å, 90.00 90.00 90.00°
Atoms (fractional coordinates):
P  0.000  0.000  0.840
Co  0.500  0.500  0.000
Cl  0.500  0.500  0.500
P  0.000  0.000  0.160

Calculated values
- size of the total moment (μB/atom) = 0.000

(iii)
CoP2Cl: single point on PBEsol structure, SCAN.

Cell: 2.730 4.179 5.536 Å, 112.17 104.27 90.00°
Atoms (fractional coordinates):
Cl  0.500  0.000  0.000
P  0.693  0.693  0.385
Co  0.000  0.500  0.000
P  0.307  0.307  0.615

Calculated values
- size of the total moment (μB/atom) = 0.001

It is (ii) that is the most stable of them.

(i)
Co2PbCl: single point on PBEsol structure, SCAN.

Cell: 3.188 3.188 7.458 Å, 77.66 77.66 60.00°
Atoms (fractional coordinates):
Co  0.741  0.741  0.776
Co  0.259  0.259  0.224
Cl  0.000  0.000  0.000
Pb  0.500  0.500  0.500

Calculated values
- size of the total moment (μB/atom) = 0.905

(ii)
Co2PbCl: single point on PBEsol structure, SCAN.

Cell: 4.591 4.591 4.591 Å, 60.00 60.00 60.00°
Atoms (fractional coordinates):
Co  0.250  0.250  0.250
Cl  0.500  0.500  0.500
Co  0.000  0.000  0.000
Pb  0.750  0.750  0.750

Calculated values
- size of the total moment (μB/atom) = 0.994

(iii)
Co2PbCl: single point on PBEsol structure, SCAN.

Cell: 3.097 3.903 5.973 Å, 90.00 90.00 90.00°
Atoms (fractional coordinates):
Co  0.000  0.500  0.812
Pb  0.500  0.000  0.000
Cl  0.500  0.500  0.500
Co  0.000  0.500  0.188

Calculated values
- size of the total moment (μB/atom) = 0.819

It is (i) that is the most stable of them.